This record from the Alexandria database describes a relaxed Cd3SiRh crystal. The functional is PBEsol.

Calculated values
Mass density = 6.22 g/cm³
Space-group type = Pm-3m, No. 221
Total moment = 0.0 μB per cell
N(E_F) = 3.854 states/eV/cell
Raw formation energy = 0.739 eV per atom
Crystal system = cubic
Volume = 125.0 Å³ per cell

abc: 5.000 5.000 5.000
angles: 90.00 90.00 90.00
Element x y z (fractional)
Si (0.500, 0.500, 0.500)
Rh (0.000, 0.000, 0.000)
Cd (0.000, 0.500, 0.000)
Cd (0.000, 0.000, 0.500)
Cd (0.500, 0.000, 0.000)